CdAg2Sn2 | GGA-PBE | relaxed

The space group is P4/mbm (No. 127) and the conventional cell measures 8.019, 8.019 and 3.614 Å, with angles of 90.00, 90.00 and 90.00 degrees. The asymmetric unit holds Cd at (0.000, 0.000, 0.000), Ag at (0.127, 0.373, 0.000) and Sn at (0.174, 0.674, 0.500).

The value obtained for the total energy is -28.4 eV per cell. The energy of formation is 0.43 eV per formula unit. For the total moment, the calculation gives 0.0 μB per cell.